A relaxed structure of Mn2TcGe, computed with GGA-PBE.

```
8
Lattice="-1.658 -6.473 1.157 4.702 -2.001 -4.459 3.266 -4.347 0.237" Properties=species:S:1:pos:R:3 pbc="T T T"
Ge 1.522 -4.237 -1.651
Ge 4.745 -5.292 -2.937
Mn 0.364 -5.398 0.227
Mn 3.552 -3.131 -2.586
Mn 3.580 -6.433 -1.050
Mn 5.123 -10.680 -2.722
Tc 0.000 0.000 0.000
Tc 1.565 -7.529 -0.129
```

Properties
VASP energy   -7.867 eV/atom
Energy of formation   464 meV/atom
Calculated density   7.874 Mg/m³

A relaxed structure of NaCoAgP, computed with GGA-PBE.

```
8
Lattice="-0.817 -2.307 2.878 3.285 -1.797 -0.508 4.636 6.607 6.613" Properties=species:S:1:pos:R:3 pbc="T T T"
Na 3.008 -1.428 3.430
Na 4.095 3.931 5.554
Co 0.208 -2.180 2.032
Co 2.259 -1.925 0.339
Ag 4.577 1.379 3.645
Ag 2.526 1.124 5.338
P 5.972 2.796 7.657
P 1.131 -0.293 1.326
```

Properties
VASP energy   -4.475 eV/atom
Energy of formation   -303 meV/atom
Calculated density   4.922 Mg/m³

> Which value of VASP energy does entry 1 give?

-7.867 eV/atom